In2AgAu: relaxed, PBE-GGA.

## Properties
SG: Imm2 (44)
total magnetic moment: 0.00 μB/cell
E_form: -0.144 eV per formula unit

Cell: 5.4107 5.4107 5.4107 Å, 132.54 132.66 69.28°
Last column: nearest neighbours and their distance in Å.
Positions (direct):
In (0.7502, 0.2502, 0.5000)  4 Au 3.08, 4 In 3.11, 4 Ag 3.11
In (0.9997, 0.9997, 0.0000)  4 Ag 3.08, 4 Au 3.11, 4 In 3.11
Au (0.2498, 0.7498, 0.5000)  8 In 3.08-3.11, 4 Ag 3.11-3.12
Ag (0.5004, 0.5004, 0.0000)  8 In 3.08-3.11, 4 Au 3.11-3.12



InAg2Au: relaxed, PBE-GGA.

## Properties
SG: Immm (71)
total magnetic moment: 0.00 μB/cell
E_form: -0.369 eV per formula unit

Cell: 5.3105 5.3105 5.3105 Å, 133.53 134.74 66.88°
Last column: nearest neighbours and their distance in Å.
Positions (direct):
Au (0.7500, 0.2500, 0.5000)  4 In 2.93, 8 Ag 3.01-3.05
Ag (0.4997, 0.4997, 0.0000)  4 Ag 2.93, 4 Au 3.01-3.05, 4 In 3.02-3.05
Ag (0.0003, 0.0003, 0.0000)  4 Ag 2.93, 4 Au 3.01-3.05, 4 In 3.02-3.05
In (0.2500, 0.7500, 0.5000)  4 Au 2.93, 8 Ag 3.02-3.05